PBE-GGA CeHoGeAu, relaxed; crystal system = cubic
1.0
5.139 0.000 0.000
2.570 4.451 0.000
2.570 1.484 4.196
Ho Au Ge Ce
1 1 1 1
direct
0.000 0.000 0.000
0.750 0.750 0.750
0.250 0.250 0.250
0.500 0.500 0.500

PBE-GGA CeInGeAu, relaxed; crystal system = cubic
1.0
-1.701 -3.737 2.923
2.999 -2.015 3.514
-0.922 0.840 4.883
In Ge Ce Au
1 1 1 1
direct
0.500 0.500 0.500
0.250 0.250 0.250
0.000 0.000 0.000
0.750 0.750 0.750

Going through the records in order, we get energy of formation from the pure elements values of -0.6651, -0.4634 eV/atom.
Going through the records in order, we get electronic total energy values of -21.07, -18.42 eV for the cell shown.
Going through the records in order, we get DOS at the Fermi energy values of 9.6, 5.6 states/eV/cell.